A plane-wave DFT calculation with PBE+U was carried out for an optimized crystal structure of Na2SrVP2O9.

Summary:
Its space group is Pnma. The calculation puts the total energy at -6.886 eV per atom.

a b c (Å): 6.7272 10.3702 10.8033
angles (deg): 90.00 90.00 90.00
With the nearest neighbours (Å) after each atom.
Fractional positions:
O 0.7500 0.7292 0.6470  1 P 1.56
O 0.5655 0.3191 0.0075  1 P 1.59
O 0.7500 0.5181 0.0940  1 P 1.55
O 0.7500 0.6732 0.3958  1 V 1.66
O 0.2500 0.3268 0.6042  1 V 1.66
O 0.2500 0.2708 0.3530  1 P 1.56
O 0.9331 0.9860 0.1312  1 P 1.54
O 0.4345 0.8191 0.4925  1 P 1.59
O 0.2500 0.6952 0.7852  1 P 1.55
O 0.7500 0.1952 0.7148  1 P 1.55
O 0.5669 0.5140 0.6312  1 P 1.54
O 0.2500 0.0684 0.6727  1 P 1.56
O 0.5655 0.1809 0.5075  1 P 1.59
O 0.7500 0.9819 0.5940  1 P 1.55
O 0.2500 0.1732 0.1042  1 V 1.66
O 0.7500 0.3048 0.2148  1 P 1.55
O 0.9345 0.1809 0.5075  1 P 1.59
O 0.2500 0.8048 0.2852  1 P 1.55
O 0.0655 0.6809 0.9925  1 P 1.59
O 0.4345 0.6809 0.9925  1 P 1.59
O 0.2500 0.4819 0.9060  1 P 1.55
O 0.9331 0.5140 0.6312  1 P 1.54
O 0.7500 0.9316 0.3273  1 P 1.56
O 0.0655 0.8191 0.4925  1 P 1.59
O 0.0669 0.0140 0.8688  1 P 1.54
O 0.2500 0.4316 0.1727  1 P 1.56
O 0.2500 0.0181 0.4060  1 P 1.55
O 0.4331 0.4860 0.3688  1 P 1.54
O 0.7500 0.5684 0.8273  1 P 1.56
O 0.9345 0.3191 0.0075  1 P 1.59
O 0.5669 0.9860 0.1312  1 P 1.54
O 0.4331 0.0140 0.8688  1 P 1.54
O 0.0669 0.4860 0.3688  1 P 1.54
O 0.2500 0.2292 0.8530  1 P 1.56
O 0.7500 0.8268 0.8958  1 V 1.66
O 0.7500 0.7708 0.1470  1 P 1.56
P 0.7500 0.1312 0.5855  4 O 1.55-1.59
P 0.7500 0.5841 0.6837  4 O 1.54-1.56
P 0.2500 0.0841 0.8163  4 O 1.54-1.56
P 0.7500 0.3688 0.0855  4 O 1.55-1.59
P 0.2500 0.4159 0.3163  4 O 1.54-1.56
P 0.7500 0.9159 0.1837  4 O 1.54-1.56
P 0.2500 0.8688 0.4145  4 O 1.55-1.59
P 0.2500 0.6312 0.9145  4 O 1.55-1.59
V 0.7500 0.6873 0.9719  1 O 1.66
V 0.7500 0.8127 0.4719  1 O 1.66
V 0.2500 0.3127 0.0281  1 O 1.66
V 0.2500 0.1873 0.5281  1 O 1.66
Na 0.0005 0.1368 0.2812  6 O 2.30-2.57
Na 0.4995 0.1368 0.2812  6 O 2.30-2.57
Na 0.4995 0.3632 0.7812  6 O 2.30-2.57
Na 0.5005 0.8632 0.7188  6 O 2.30-2.57
Na 0.9995 0.6368 0.2188  6 O 2.30-2.57
Na 0.9995 0.8632 0.7188  6 O 2.30-2.57
Na 0.5005 0.6368 0.2188  6 O 2.30-2.57
Na 0.0005 0.3632 0.7812  6 O 2.30-2.57
Sr 0.2500 0.9050 0.0582  5 O 2.42-2.66
Sr 0.7500 0.0950 0.9418  5 O 2.42-2.66
Sr 0.7500 0.4050 0.4418  5 O 2.42-2.66
Sr 0.2500 0.5950 0.5582  5 O 2.42-2.66